KZrW2F: optimized geometry, PBE+U.

Cell: 5.300 5.300 7.188 Å, 90.00 90.00 90.00°
Fractional positions:
K (0.000, 0.000, 0.000)
Zr (0.000, 0.000, 0.500)
W (0.000, 0.500, 0.500)
W (0.500, 0.000, 0.500)
F (0.500, 0.500, 0.000)

Values from the calculation:
- V: 202 Å³/f.u.
- VASP energy: -3.6138 eV/atom
- Size of the total moment: 4.11 μB/cell